No. 1
Nb6RuW2 | Alexandria | PBE | optimized geometry; spin magnetization = 0.000 μB per atom; energy relative to the lowest polymorph listed for this composition = 682 meV/atom; space group = C2/m (12); DOS at the Fermi energy = 10.5 states/eV/cell; ΔE_f = 0.541 eV per atom
1.0
-1.783 -3.950 0.587
2.367 -1.888 -5.519
5.237 0.890 5.531
Nb Ru W
6 1 2
direct
0.834 0.082 0.669
0.500 0.751 0.000
0.500 0.249 0.000
0.166 0.413 0.331
0.834 0.587 0.669
0.166 0.918 0.331
0.000 0.000 0.000
0.666 0.665 0.331
0.334 0.335 0.669



No. 2
NbRuW2 | Alexandria | PBE | optimized geometry; spin magnetization = 0.000 μB per atom; energy relative to the lowest polymorph listed for this composition = 0 meV/atom; space group = P4/mmm (123); DOS at the Fermi energy = 3.4 states/eV/cell; ΔE_f = 0.083 eV per atom
1.0
-2.694 -1.599 -0.477
0.340 -1.801 4.112
-2.346 3.445 1.703
W Nb Ru
2 1 1
direct
0.000 0.500 0.000
0.000 0.000 0.500
0.500 0.500 0.500
0.500 0.000 0.000



No. 3
Nb3RuW | Alexandria | PBE | optimized geometry; spin magnetization = 0.000 μB per atom; energy relative to the lowest polymorph listed for this composition = 1581 meV/atom; space group = Pm-3m (221); DOS at the Fermi energy = 10.4 states/eV/cell; ΔE_f = 1.412 eV per atom
1.0
-2.721 2.122 -3.228
1.643 -2.938 -3.316
-3.497 -3.032 0.954
Nb Ru W
3 1 1
direct
0.500 0.000 0.000
0.000 0.500 0.000
0.000 0.000 0.500
0.000 0.000 0.000
0.500 0.500 0.500



No. 4
Nb5RuW4 | Alexandria | PBE | optimized geometry; spin magnetization = 0.000 μB per atom; space group = P4/mmm (123); DOS at the Fermi energy = 5.5 states/eV/cell; ΔE_f = -0.107 eV per atom
1.0
-0.775 -3.130 0.184
0.459 -0.301 -3.183
15.549 -3.697 2.592
Nb W Ru
5 4 1
direct
0.500 0.500 0.901
0.500 0.500 0.500
0.500 0.500 0.298
0.500 0.500 0.099
0.500 0.500 0.702
0.000 0.000 0.198
0.000 0.000 0.600
0.000 0.000 0.400
0.000 0.000 0.802
0.000 0.000 0.000



No. 5
Nb7Ru2W2 | Alexandria | PBE | optimized geometry; spin magnetization = 0.000 μB per atom; space group = C2/m (12); DOS at the Fermi energy = 8.6 states/eV/cell; ΔE_f = 0.279 eV per atom
1.0
-4.301 2.411 2.646
-1.618 -3.992 4.416
2.569 3.930 4.002
Ru Nb W
2 7 2
direct
0.882 0.387 0.387
0.118 0.613 0.613
0.000 0.000 0.000
0.183 0.084 0.565
0.489 0.316 0.316
0.817 0.916 0.435
0.183 0.565 0.084
0.817 0.435 0.916
0.511 0.684 0.684
0.500 0.825 0.175
0.500 0.175 0.825



No. 6
Nb2Ru2W | Alexandria | PBE | optimized geometry; spin magnetization = 0.000 μB per atom; space group = P4/mbm (127); DOS at the Fermi energy = 8.9 states/eV/cell; ΔE_f = 0.125 eV per atom
1.0
-0.933 -6.433 -3.568
0.744 -3.661 6.406
-2.968 0.181 0.448
Nb Ru W
4 4 2
direct
0.668 0.832 0.500
0.332 0.168 0.500
0.832 0.332 0.500
0.168 0.668 0.500
0.366 0.866 0.000
0.134 0.366 0.000
0.634 0.134 0.000
0.866 0.634 0.000
0.000 0.000 0.000
0.500 0.500 0.000



For reference, E by record: -10.08; -11.23; -9.08; -11.25; -10.17; -10.20 eV/atom.